# AlSiAs2 | the Alexandria database | PBE-GGA | relaxed
# Total moment (μB/atom): 0.000
# Relative energy among the computed polymorphs (kJ/mol of atoms): 23.4
# Energy relative to the elements, uncorrected (eV/atom): 0.195
# Crystal system: orthorhombic
# Electronic total energy (eV per atom): -4.421
# Mass density (g cm⁻³): 4.53
data_AlSiAs2
_chemical_formula_sum 'Al2 Si2 As4'
_symmetry_space_group_name_H-M 'I m m 2'
_symmetry_Int_Tables_number 44
_symmetry_space_group_name_Hall 'I 2 -2'
_cell_length_a 3.463
_cell_length_b 3.538
_cell_length_c 12.257
_cell_angle_alpha 90.00
_cell_angle_beta 90.00
_cell_angle_gamma 90.00
loop_
_atom_site_label
_atom_site_fract_x
_atom_site_fract_y
_atom_site_fract_z
Al1 0.000 0.000 0.000
Si1 0.000 0.500 0.245
As1 0.000 0.000 0.586
As2 0.000 0.500 0.833